Entry 1:
# Pr8SiNi2

A geometry-optimized Pr8SiNi2 structure (PBE, Alexandria).

Cell: 6.4606 7.7850 7.7850 Å, 114.90 100.93 100.93°
Sites, in units of the cell vectors:
Si (0.1907, 0.0065, 0.0065)
Ni (0.4894, 0.3113, 0.6951)
Pr (0.3647, 0.9152, 0.6468)
Pr (0.9744, 0.7941, 0.2066)
Ni (0.4894, 0.6951, 0.3113)
Pr (0.3647, 0.6468, 0.9152)
Pr (0.1764, 0.3663, 0.3663)
Pr (0.9744, 0.2066, 0.7941)
Pr (0.8039, 0.6507, 0.6507)
Pr (0.5858, 0.0878, 0.3534)
Pr (0.5858, 0.3534, 0.0878)

Output
E_form (uncorrected) = -106 meV/atom
Space group = Cm, No. 8

Entry 2:
# Ac2HoGa4Au3

A geometry-optimized Ac2HoGa4Au3 structure (PBE, Alexandria).

Cell: 4.4784 4.4784 11.8235 Å, 90.00 90.00 90.00°
Sites, in units of the cell vectors:
Ga (0.0000, 0.0000, 0.0000)
Ga (0.5000, 0.0000, 0.6570)
Ho (0.5000, 0.5000, 0.5000)
Au (0.0000, 0.0000, 0.5000)
Ga (0.5000, 0.5000, 0.0000)
Au (0.5000, 0.0000, 0.8764)
Au (0.0000, 0.5000, 0.1236)
Ac (0.5000, 0.0000, 0.2342)
Ga (0.0000, 0.5000, 0.3430)
Ac (0.0000, 0.5000, 0.7658)

Output
Space group = P-4m2, No. 115
Energy of formation from the pure elements = -0.65 eV/atom

Entry 3:
# CrCu2Cl

A geometry-optimized CrCu2Cl structure (PBE, Alexandria).

Cell: 3.0021 3.2715 6.7105 Å, 90.08 90.00 90.00°
Site moments in Bohr magnetons follow the coordinates.
Sites, in units of the cell vectors:
Cu (0.0000, 0.0008, 0.0054)  0.09
Cu (0.5000, 0.5013, 0.1811)  0.00
Cl (0.0000, 0.4978, 0.5194)  -0.03
Cr (0.5000, 0.5001, 0.7940)  3.19

Output
E_form (uncorrected) = 146 meV/atom
Space group = Pm, No. 6
Excess energy over the best structure of this formula in the dataset = 0.00 eV per formula unit

Entry 4:
# NaLi

A geometry-optimized NaLi structure (PBE, Alexandria).

Cell: 6.1928 6.1928 6.1928 Å, 90.00 90.00 90.00°
Sites, in units of the cell vectors:
Na (0.0000, 0.0000, 0.5000)
Li (0.5000, 0.0000, 0.5000)
Li (0.5000, 0.5000, 0.0000)
Na (0.5000, 0.5000, 0.5000)
Li (0.0000, 0.5000, 0.5000)
Na (0.5000, 0.0000, 0.0000)
Li (0.0000, 0.0000, 0.0000)
Na (0.0000, 0.5000, 0.0000)

Output
Space group = Fm-3m, No. 225
Energy of formation from the pure elements = 0.19 eV/atom
Excess energy over the best structure of this formula in the dataset = 0.30 eV per formula unit

Entry 5:
# TiTl2TeO6

A geometry-optimized TiTl2TeO6 structure (PBE, Alexandria).

Cell: 5.9344 5.9344 10.1031 Å, 72.92 72.92 60.00°
Sites, in units of the cell vectors:
O (0.1999, 0.1999, 0.8855)
Te (0.0000, 0.0000, 0.0000)
O (0.2852, 0.8001, 0.1145)
Tl (0.8683, 0.8683, 0.3952)
Tl (0.7248, 0.7248, 0.8255)
O (0.8001, 0.8001, 0.1145)
Tl (0.1317, 0.1317, 0.6048)
Te (0.5000, 0.5000, 0.5000)
O (0.8304, 0.4033, 0.3630)
O (0.5967, 0.1696, 0.6370)
O (0.4033, 0.4033, 0.3630)
O (0.5967, 0.5967, 0.6370)
Tl (0.2752, 0.2752, 0.1745)
O (0.1696, 0.5967, 0.6370)
O (0.1999, 0.7148, 0.8855)
Ti (0.4013, 0.4013, 0.7961)
O (0.8001, 0.2852, 0.1145)
O (0.7148, 0.1999, 0.8855)
Ti (0.5987, 0.5987, 0.2039)
O (0.4033, 0.8304, 0.3630)

Output
E_form (uncorrected) = -1431 meV/atom
Space group = R-3m, No. 166

Entry 6:
# Ac2Pm6Pr

A geometry-optimized Ac2Pm6Pr structure (PBE, Alexandria).

Cell: 6.4772 5.2767 11.2108 Å, 103.57 84.45 66.00°
Sites, in units of the cell vectors:
Pm (0.3350, 0.1698, 0.1751)
Pr (0.0000, 0.5000, 0.5000)
Pm (0.5556, 0.2758, 0.6070)
Pm (0.1057, 0.0546, 0.7146)
Ac (0.2248, 0.6072, 0.9389)
Pm (0.4444, 0.7242, 0.3930)
Pm (0.6650, 0.8302, 0.8249)
Pm (0.8943, 0.9454, 0.2854)
Ac (0.7752, 0.3928, 0.0611)

Output
Space group = C2/m, No. 12
Energy of formation from the pure elements = 0.03 eV/atom
Excess energy over the best structure of this formula in the dataset = 0.00 eV per formula unit

M_tot list, top to bottom, in Bohr magnetons per cell: 0.00 0.00 3.53 0.00 0.00 0.00
Total DFT energy (no corrections) list, top to bottom, in eV/cell: -56.393 -41.261 -19.080 -11.418 -119.658 -41.196